# ZrScUO6

An optimized crystal structure of ZrScUO6 (PBE, Alexandria via LeMat-Bulk).

Geometry as POSCAR:
```
ZrScUO6
1.0
5.495 0.000 0.000
-2.748 4.759 0.000
0.000 0.000 9.176
Zr Sc U O
2 2 2 12
direct
0.000 0.000 0.000 Zr
0.000 0.000 0.500 Zr
0.333 0.667 0.250 Sc
0.667 0.333 0.750 Sc
0.667 0.333 0.250 U
0.333 0.667 0.750 U
0.670 0.673 0.130 O
0.003 0.330 0.130 O
0.330 0.003 0.630 O
0.997 0.670 0.870 O
0.327 0.330 0.370 O
0.003 0.673 0.370 O
0.673 0.003 0.870 O
0.670 0.997 0.370 O
0.997 0.327 0.630 O
0.327 0.997 0.130 O
0.673 0.670 0.630 O
0.330 0.327 0.870 O
```

Results
Theoretical density = 6.5 Mg/m³
E_form (uncorrected) = -3246 meV per atom
Space group = P-31c (163)
Electronic total energy = -9.459 eV per atom